# Ac2DyHg2 GGA-PBE relaxed
# total energy	-15.075	eV/f.u.
# formation energy from the elements	-1.65	eV/f.u.
# crystal system	orthorhombic
# distance to the lowest polymorph of the same formula	0.003	eV per atom
data_Ac2DyHg2
_space_group_name_H-M_alt 'P 1'
_space_group_IT_number 1
_cell_length_a 4.1534
_cell_length_b 6.9168
_cell_length_c 6.9168
_cell_angle_alpha 66.22
_cell_angle_beta 72.53
_cell_angle_gamma 72.53
loop_
_space_group_symop_operation_xyz
'x,y,z'
loop_
_atom_site_label
_atom_site_fract_x
_atom_site_fract_y
_atom_site_fract_z
_atom_site_occupancy
Ac1 0.2093 0.2907 0.2907 1
Ac2 0.7907 0.7093 0.7093 1
Dy1 0.0000 0.0000 0.0000 1
Hg1 0.5000 0.2920 0.7080 1
Hg2 0.5000 0.7080 0.2920 1

# YAg2Te GGA-PBE relaxed
# total energy	-16.503	eV/f.u.
# crystal system	tetragonal
# formation energy (no corrections)	-0.299	eV/atom
data_YAg2Te
_space_group_name_H-M_alt 'P 1'
_space_group_IT_number 1
_cell_length_a 5.6965
_cell_length_b 5.6965
_cell_length_c 5.6965
_cell_angle_alpha 133.87
_cell_angle_beta 133.87
_cell_angle_gamma 67.29
loop_
_space_group_symop_operation_xyz
'x,y,z'
loop_
_atom_site_label
_atom_site_fract_x
_atom_site_fract_y
_atom_site_fract_z
_atom_site_occupancy
Ag1 0.0000 0.0000 0.0000 1
Ag2 0.2500 0.7500 0.5000 1
Te1 0.5000 0.5000 0.0000 1
Y1 0.7500 0.2500 0.5000 1

# MnS2 GGA-PBE relaxed
# total energy	-18.967	eV/f.u.
# crystal system	orthorhombic
# formation energy (no corrections)	-0.514	eV/atom
data_MnS2
_space_group_name_H-M_alt 'P 1'
_space_group_IT_number 1
_cell_length_a 3.2546
_cell_length_b 4.6791
_cell_length_c 5.5564
_cell_angle_alpha 90.00
_cell_angle_beta 90.00
_cell_angle_gamma 90.00
loop_
_space_group_symop_operation_xyz
'x,y,z'
loop_
_atom_site_label
_atom_site_fract_x
_atom_site_fract_y
_atom_site_fract_z
_atom_site_occupancy
S1 0.7500 0.9477 0.9648 1
S2 0.2500 0.4477 0.2019 1
S3 0.7500 0.5523 0.7019 1
S4 0.2500 0.0523 0.4648 1
Mn1 0.2500 0.2500 0.8333 1
Mn2 0.7500 0.7500 0.3333 1

# Cr4As3 GGA-PBE relaxed
# total energy	-53.317	eV/f.u.
# formation energy from the elements	-0.87	eV/f.u.
# crystal system	monoclinic
# distance to the lowest polymorph of the same formula	0.000	eV per atom
data_Cr4As3
_space_group_name_H-M_alt 'P 1'
_space_group_IT_number 1
_cell_length_a 6.7440
_cell_length_b 6.7440
_cell_length_c 9.3252
_cell_angle_alpha 76.85
_cell_angle_beta 76.85
_cell_angle_gamma 30.61
loop_
_space_group_symop_operation_xyz
'x,y,z'
loop_
_atom_site_label
_atom_site_fract_x
_atom_site_fract_y
_atom_site_fract_z
_atom_site_occupancy
As1 0.0669 0.0669 0.7297 1
As2 0.9430 0.9430 0.2716 1
As3 0.3663 0.3663 0.9797 1
As4 0.6434 0.6434 0.0218 1
As5 0.8154 0.8154 0.6502 1
As6 0.1946 0.1946 0.3512 1
Cr1 0.0049 0.0049 0.0006 1
Cr2 0.6524 0.6524 0.5540 1
Cr3 0.3575 0.3575 0.4475 1
Cr4 0.2226 0.2226 0.8347 1
Cr5 0.7872 0.7872 0.1667 1
Cr6 0.4381 0.4381 0.7024 1
Cr7 0.5718 0.5718 0.2991 1
Cr8 0.0050 0.0050 0.5007 1

Copy entry 2 word for word.
# YAg2Te GGA-PBE relaxed
# total energy	-16.503	eV/f.u.
# crystal system	tetragonal
# formation energy (no corrections)	-0.299	eV/atom
data_YAg2Te
_space_group_name_H-M_alt 'P 1'
_space_group_IT_number 1
_cell_length_a 5.6965
_cell_length_b 5.6965
_cell_length_c 5.6965
_cell_angle_alpha 133.87
_cell_angle_beta 133.87
_cell_angle_gamma 67.29
loop_
_space_group_symop_operation_xyz
'x,y,z'
loop_
_atom_site_label
_atom_site_fract_x
_atom_site_fract_y
_atom_site_fract_z
_atom_site_occupancy
Ag1 0.0000 0.0000 0.0000 1
Ag2 0.2500 0.7500 0.5000 1
Te1 0.5000 0.5000 0.0000 1
Y1 0.7500 0.2500 0.5000 1